{
  "formula": "Tb2PmPr4Ho2",
  "functional": "PBE",
  "state": "optimized geometry",
  "total_magnetization_mub_per_fu": 0.00,
  "ef_ev_per_fu": 0.17,
  "dos_at_fermi_per_ev_atom": 1.50,
  "lattice": [[7.7115, -2.5652, 0.0000], [7.7115, 2.5652, 0.0000], [-2.5517, 0.0000, 7.6954]],
  "species": ["Tb", "Tb", "Pm", "Pr", "Pr", "Pr", "Pr", "Ho", "Ho"],
  "fractional_positions": [[0.1115, 0.1115, 0.1691], [0.8885, 0.8885, 0.8309], [0.0000, 0.0000, 0.5000], [0.2230, 0.2230, 0.8309], [0.4460, 0.4460, 0.1687], [0.5540, 0.5540, 0.8313], [0.7770, 0.7770, 0.1691], [0.3319, 0.3319, 0.5008], [0.6681, 0.6681, 0.4992]]
}